Computed, not measured: a PBEsol-optimized structure of CaCuNi2 at the meta-GGA SCAN level of DFT.

Geometry as extended XYZ:
```
4
Lattice="4.0421 0.0379 0.0313 1.9874 3.5200 0.0313 1.9846 1.1711 4.7268" Properties=species:S:1:pos:R:3 pbc="T T T"
Cu 3.0148 1.7790 0.0313
Ni 2.9914 1.7652 4.4513
Ni 5.0227 2.9638 0.3381
Ca 0.9923 0.5855 2.3634
```

Computed properties:
* symmetry: C2/m, No. 12
* mass density: 5.510 Mg/m³
* size of the total moment: 0.09 μB/atom
* formation energy: -0.05 eV/atom

---

Computed, not measured: a PBEsol-optimized structure of Ca2CuNi at the meta-GGA SCAN level of DFT.

Geometry as extended XYZ:
```
4
Lattice="-2.6682 -0.4788 3.0360 -2.5796 -1.7743 -2.5469 3.4499 -4.4514 -0.3932" Properties=species:S:1:pos:R:3 pbc="T T T"
Ni 0.1142 -4.3981 -0.2495
Ca -2.0676 -2.7609 0.8197
Ca 3.0892 -4.0519 -0.3062
Cu 0.9071 -2.4101 0.7602
```

Computed properties:
* symmetry: Amm2, No. 38
* mass density: 3.884 Mg/m³
* size of the total moment: 0.00 μB/atom
* formation energy: -0.10 eV/atom

---

Computed, not measured: a PBEsol-optimized structure of Ca2CuNi at the meta-GGA SCAN level of DFT.

Geometry as extended XYZ:
```
4
Lattice="-0.8369 -3.9298 0.3745 -0.6574 -2.2452 -3.2880 6.3493 -3.5500 -1.3217" Properties=species:S:1:pos:R:3 pbc="T T T"
Ni 2.0783 -2.6196 -1.1031
Ca -0.6956 -6.3491 -2.9544
Ca 2.8411 -7.1195 -3.1354
Cu 1.5644 -4.6745 -2.0734
```

Computed properties:
* symmetry: R3m, No. 160
* mass density: 3.396 Mg/m³
* size of the total moment: 0.01 μB/atom
* formation energy: -0.10 eV/atom

---

Computed, not measured: a PBEsol-optimized structure of CaCuNi at the meta-GGA SCAN level of DFT.

Geometry as extended XYZ:
```
6
Lattice="-0.4193 -5.0015 0.2993 0.3093 -2.8059 -4.2220 4.0918 -2.9149 -0.7450" Properties=species:S:1:pos:R:3 pbc="T T T"
Ca 3.5489 -5.4798 -2.1336
Ca 0.4329 -5.2425 -2.5341
Ni 0.0000 0.0000 0.0000
Ni 2.2005 -2.8604 -2.4835
Cu 1.8362 -3.9582 -0.2228
Cu 2.0459 -1.4575 -0.3725
```

Computed properties:
* symmetry: Imma, No. 74
* mass density: 5.815 Mg/m³
* size of the total moment: 0.00 μB/atom
* formation energy: -0.13 eV/atom